Density functional theory data (PBE-GGA) for crystalline LiTbHo6 at its relaxed geometry.

Unit cell a=8.339 b=9.280 c=6.238 alpha=41.98 beta=48.07 gamma=56.18
Fractional coordinates of all 8 atoms:
Li (0.000, 0.000, 0.000)
Tb (0.500, 0.500, 0.500)
Ho (0.951, 0.569, 0.717)
Ho (0.763, 0.951, 0.856)
Ho (0.569, 0.237, 0.242)
Ho (0.237, 0.049, 0.144)
Ho (0.049, 0.431, 0.283)
Ho (0.431, 0.763, 0.758)

## Properties
Spin magnetization in μB/f.u.: 0.00
Calculated density in Mg/m³: 8.04
V in Å³ per cell: 238.5
Symmetry: No. 2
Crystal system: triclinic



Density functional theory data (PBE-GGA) for crystalline TcW2Au at its relaxed geometry.

Unit cell a=3.324 b=3.324 c=5.890 alpha=90.00 beta=90.00 gamma=90.00
Fractional coordinates of all 4 atoms:
Au (0.000, 0.000, 0.500)
Tc (0.500, 0.500, 0.774)
W (0.000, 0.000, 0.993)
W (0.500, 0.500, 0.233)

## Properties
Spin magnetization in μB/f.u.: 0.00
Calculated density in Mg/m³: 16.91
V in Å³ per cell: 65.1
Symmetry: No. 99
Crystal system: tetragonal



Density functional theory data (PBE-GGA) for crystalline ReTc at its relaxed geometry.

Unit cell a=4.449 b=2.767 c=5.535 alpha=60.01 beta=90.00 gamma=90.00
Fractional coordinates of all 4 atoms:
Re (0.750, 0.166, 0.334)
Re (0.250, 0.834, 0.666)
Tc (0.750, 0.167, 0.833)
Tc (0.250, 0.833, 0.167)

## Properties
Spin magnetization in μB/f.u.: 0.00
Calculated density in Mg/m³: 15.99
V in Å³ per cell: 59.0
Symmetry: No. 51
Crystal system: orthorhombic



Density functional theory data (PBE-GGA) for crystalline Rb2Sc2Cu at its relaxed geometry.

Unit cell a=7.097 b=7.097 c=6.954 alpha=90.00 beta=90.00 gamma=90.00
Fractional coordinates of all 10 atoms:
Sc (0.330, 0.830, 0.000)
Sc (0.830, 0.670, 0.000)
Sc (0.670, 0.170, 0.000)
Sc (0.170, 0.330, 0.000)
Cu (0.000, 0.000, 0.000)
Cu (0.500, 0.500, 0.000)
Rb (0.193, 0.693, 0.500)
Rb (0.693, 0.807, 0.500)
Rb (0.807, 0.307, 0.500)
Rb (0.307, 0.193, 0.500)

## Properties
Spin magnetization in μB/f.u.: 0.00
Calculated density in Mg/m³: 3.08
V in Å³ per cell: 350.3
Symmetry: No. 127
Crystal system: tetragonal



Density functional theory data (PBE-GGA) for crystalline KGeS4 at its relaxed geometry.

Unit cell a=5.864 b=5.348 c=12.999 alpha=102.31 beta=103.44 gamma=88.09
Fractional coordinates of all 12 atoms:
K (0.420, 0.170, 0.840)
K (0.580, 0.830, 0.160)
Ge (0.249, 0.499, 0.498)
Ge (0.751, 0.501, 0.502)
S (0.140, 0.718, 0.945)
S (0.805, 0.727, 0.945)
S (0.939, 0.672, 0.399)
S (0.061, 0.328, 0.601)
S (0.541, 0.774, 0.601)
S (0.195, 0.273, 0.055)
S (0.459, 0.226, 0.399)
S (0.860, 0.282, 0.055)

## Properties
Spin magnetization in μB/f.u.: 0.00
Calculated density in Mg/m³: 2.06
V in Å³ per cell: 387.3
Symmetry: No. 15
Crystal system: monoclinic



Density functional theory data (PBE-GGA) for crystalline Ba2PuAgO6 at its relaxed geometry.

Unit cell a=6.246 b=6.075 c=6.168 alpha=119.50 beta=119.98 gamma=90.00
Site moments in Bohr magnetons follow the coordinates.
Fractional coordinates of all 10 atoms:
Ba (0.243, 0.252, 0.503)  0.00
Ba (0.757, 0.748, 0.497)  0.00
Pu (0.000, 0.500, 0.000)  1.46
Ag (0.500, 0.000, 0.000)  -0.02
O (0.301, 0.722, 0.443)  -0.06
O (0.181, 0.222, 0.911)  -0.05
O (0.819, 0.311, 0.089)  -0.05
O (0.181, 0.689, 0.911)  -0.05
O (0.819, 0.778, 0.089)  -0.05
O (0.699, 0.278, 0.557)  -0.06

## Properties
Spin magnetization in μB/f.u.: 1.11
Calculated density in Mg/m³: 7.19
V in Å³ per cell: 166.8
Symmetry: No. 12
Crystal system: monoclinic



Density functional theory data (PBE-GGA) for crystalline NaZnIn2Pd at its relaxed geometry.

Unit cell a=5.173 b=5.173 c=4.955 alpha=90.00 beta=90.00 gamma=90.00
Fractional coordinates of all 5 atoms:
Na (0.500, 0.500, 0.500)
Zn (0.000, 0.000, 0.500)
Pd (0.000, 0.000, 0.000)
In (0.000, 0.500, 0.000)
In (0.500, 0.000, 0.000)

## Properties
Spin magnetization in μB/f.u.: 0.00
Calculated density in Mg/m³: 5.32
V in Å³ per cell: 132.6
Symmetry: No. 123
Crystal system: tetragonal



Density functional theory data (PBE-GGA) for crystalline Pm3Be2Si3 at its relaxed geometry.

Unit cell a=3.918 b=5.772 c=15.004 alpha=90.00 beta=90.00 gamma=109.84
Fractional coordinates of all 16 atoms:
Pm (0.848, 0.696, 0.408)
Pm (0.152, 0.304, 0.908)
Pm (0.848, 0.696, 0.092)
Pm (0.152, 0.304, 0.592)
Pm (0.541, 0.082, 0.250)
Pm (0.459, 0.918, 0.750)
Be (0.865, 0.729, 0.881)
Be (0.135, 0.271, 0.381)
Be (0.865, 0.729, 0.619)
Be (0.135, 0.271, 0.119)
Si (0.574, 0.148, 0.442)
Si (0.426, 0.852, 0.942)
Si (0.574, 0.148, 0.058)
Si (0.426, 0.852, 0.558)
Si (0.258, 0.516, 0.250)
Si (0.742, 0.484, 0.750)

## Properties
Spin magnetization in μB/f.u.: 0.00
Calculated density in Mg/m³: 5.59
V in Å³ per cell: 319.2
Symmetry: No. 63
Crystal system: orthorhombic



Density functional theory data (PBE-GGA) for crystalline SiBRhAuCS at its relaxed geometry.

Unit cell a=3.841 b=4.333 c=5.993 alpha=84.10 beta=79.16 gamma=72.80
Fractional coordinates of all 6 atoms:
C (0.196, 0.661, 0.659)
B (0.480, 0.766, 0.476)
Si (0.246, 0.223, 0.651)
S (0.711, 0.535, 0.222)
Au (0.062, 0.887, 0.972)
Rh (0.889, 0.027, 0.436)

## Properties
Spin magnetization in μB/f.u.: 0.00
Calculated density in Mg/m³: 6.80
V in Å³ per cell: 93.5
Symmetry: No. 1
Crystal system: triclinic



Density functional theory data (PBE-GGA) for crystalline Pr2Mn2ZnNi5 at its relaxed geometry.

Unit cell a=3.680 b=9.346 c=9.346 alpha=90.00 beta=90.00 gamma=90.00
Site moments in Bohr magnetons follow the coordinates.
Fractional coordinates of all 20 atoms:
Pr (0.000, 0.685, 0.185)  -0.06
Pr (0.000, 0.315, 0.815)  -0.06
Pr (0.000, 0.185, 0.315)  -0.06
Pr (0.000, 0.815, 0.685)  -0.06
Mn (0.000, 0.114, 0.614)  3.16
Mn (0.000, 0.886, 0.386)  3.16
Mn (0.000, 0.614, 0.886)  3.16
Mn (0.000, 0.386, 0.114)  3.16
Zn (0.000, 0.000, 0.000)  0.00
Zn (0.000, 0.500, 0.500)  0.00
Ni (0.500, 0.206, 0.053)  0.32
Ni (0.500, 0.794, 0.947)  0.32
Ni (0.500, 0.053, 0.794)  0.32
Ni (0.500, 0.706, 0.447)  0.32
Ni (0.500, 0.947, 0.206)  0.32
Ni (0.500, 0.294, 0.553)  0.32
Ni (0.500, 0.553, 0.706)  0.32
Ni (0.500, 0.447, 0.294)  0.32
Ni (0.500, 0.500, 0.000)  0.54
Ni (0.500, 0.000, 0.500)  0.54

## Properties
Spin magnetization in μB/f.u.: 7.95
Calculated density in Mg/m³: 7.75
V in Å³ per cell: 321.5
Symmetry: No. 127
Crystal system: tetragonal



Density functional theory data (PBE-GGA) for crystalline MgC2SeS at its relaxed geometry.

Unit cell a=4.114 b=5.274 c=4.114 alpha=90.00 beta=90.00 gamma=90.00
Fractional coordinates of all 5 atoms:
C (0.000, 0.000, 0.500)
C (0.500, 0.000, 0.000)
S (0.500, 0.500, 0.500)
Mg (0.000, 0.000, 0.000)
Se (0.000, 0.500, 0.000)

## Properties
Spin magnetization in μB/f.u.: 0.00
Calculated density in Mg/m³: 2.96
V in Å³ per cell: 89.3
Symmetry: No. 123
Crystal system: tetragonal



Density functional theory data (PBE-GGA) for crystalline MgOs2Se at its relaxed geometry.

Unit cell a=5.657 b=5.657 c=5.657 alpha=149.63 beta=135.02 gamma=55.24
Fractional coordinates of all 4 atoms:
Mg (0.250, 0.750, 0.500)
Os (0.967, 0.967, 0.000)
Os (0.533, 0.533, 0.000)
Se (0.750, 0.250, 0.500)

## Properties
Spin magnetization in μB/f.u.: 0.00
Calculated density in Mg/m³: 12.50
V in Å³ per cell: 64.3
Symmetry: No. 71
Crystal system: orthorhombic



| no. | raw total energy (eV for the cell shown) |
| --- | --- |
| 1 | -32.8 |
| 2 | -38.4 |
| 3 | -45.6 |
| 4 | -31.8 |
| 5 | -49.3 |
| 6 | -73.9 |
| 7 | -13.9 |
| 8 | -85.3 |
| 9 | -34.6 |
| 10 | -116.4 |
| 11 | -15.9 |
| 12 | -25.9 |